Record 1
## Cs2K4Te (GGA-PBE)

Data for crystalline Cs2K4Te at its relaxed geometry.

uncorrected formation energy = -0.35 eV per atom
E = -1.665 eV per atom

a b c (Å): 6.739 6.739 14.163
angles (deg): 76.24 76.24 90.00
Atoms (fractional coordinates):
1 Cs 0.311 0.311 0.378
2 K 0.500 0.000 0.000
3 K 0.873 0.873 0.254
4 K 0.000 0.500 0.000
5 K 0.127 0.127 0.746
6 Cs 0.689 0.689 0.622
7 Te 0.000 0.000 0.000



Record 2
## SmZn10Ir2 (GGA-PBE)

Data for crystalline SmZn10Ir2 at its relaxed geometry.

ΔH_f (0 K) = -2.80 eV/f.u.
E = -2.922 eV per atom

a b c (Å): 5.479 6.760 6.810
angles (deg): 80.62 66.28 66.09
Atoms (fractional coordinates):
1 Zn 0.651 0.359 0.340
2 Zn 0.500 0.000 0.500
3 Zn 0.718 0.782 0.781
4 Zn 0.282 0.218 0.219
5 Ir 0.500 0.500 0.000
6 Zn 0.500 0.218 0.781
7 Zn 0.990 0.359 0.660
8 Ir 0.000 0.500 0.000
9 Zn 0.000 0.000 0.500
10 Zn 0.010 0.641 0.340
11 Sm 0.000 0.000 0.000
12 Zn 0.349 0.641 0.660
13 Zn 0.500 0.782 0.219



Record 3
## CeGa4Ir2 (GGA-PBE)

Data for crystalline CeGa4Ir2 at its relaxed geometry.

distance to the lowest polymorph of the same formula = 65 meV/atom
ΔH_f (0 K) = -3.97 eV/f.u.
E = -5.677 eV per atom

a b c (Å): 4.484 7.453 7.453
angles (deg): 90.00 90.00 90.00
Atoms (fractional coordinates):
1 Ga 0.500 0.835 0.411
2 Ga 0.000 0.335 0.089
3 Ga 0.000 0.089 0.335
4 Ga 0.500 0.589 0.165
5 Ir 0.000 0.234 0.766
6 Ce 0.000 0.500 0.500
7 Ga 0.500 0.411 0.835
8 Ga 0.500 0.165 0.589
9 Ga 0.000 0.665 0.911
10 Ir 0.500 0.266 0.266
11 Ce 0.500 0.000 0.000
12 Ir 0.500 0.734 0.734
13 Ir 0.000 0.766 0.234
14 Ga 0.000 0.911 0.665



Record 4
## Ca2ScAu2 (GGA-PBE)

Data for crystalline Ca2ScAu2 at its relaxed geometry.

distance to the lowest polymorph of the same formula = 281 meV/atom
ΔH_f (0 K) = -1.81 eV/f.u.
E = -3.739 eV per atom

a b c (Å): 8.550 8.550 3.336
angles (deg): 90.00 90.00 90.00
Atoms (fractional coordinates):
1 Au 0.664 0.836 0.500
2 Au 0.164 0.664 0.500
3 Sc 0.000 0.000 0.000
4 Au 0.336 0.164 0.500
5 Ca 0.636 0.136 0.000
6 Ca 0.364 0.864 0.000
7 Sc 0.500 0.500 0.000
8 Ca 0.864 0.636 0.000
9 Ca 0.136 0.364 0.000
10 Au 0.836 0.336 0.500



Record 5
## CeY2Ga (GGA-PBE)

Data for crystalline CeY2Ga at its relaxed geometry.

distance to the lowest polymorph of the same formula = 51 meV/atom
ΔH_f (0 K) = -0.80 eV/f.u.
E = -5.673 eV per atom

a b c (Å): 4.554 4.794 4.794
angles (deg): 90.00 90.00 90.00
Atoms (fractional coordinates):
1 Y 0.000 0.000 0.500
2 Ce 0.500 0.500 0.500
3 Ga 0.500 0.000 0.000
4 Y 0.000 0.500 0.000



Record 6
## Fe3Br (GGA-PBE)

Data for crystalline Fe3Br at its relaxed geometry.

distance to the lowest polymorph of the same formula = 172 meV/atom
uncorrected formation energy = 0.56 eV per atom
E = -6.210 eV per atom

a b c (Å): 5.766 5.766 4.111
angles (deg): 90.00 90.00 105.46
Atoms (fractional coordinates):
1 Br 0.648 0.352 0.750
2 Fe 0.843 0.157 0.250
3 Fe 0.099 0.251 0.750
4 Br 0.352 0.648 0.250
5 Fe 0.749 0.901 0.750
6 Fe 0.251 0.099 0.250
7 Fe 0.157 0.843 0.750
8 Fe 0.901 0.749 0.250



Record 7
## Tb2ScTe2S2 (GGA-PBE)

Data for crystalline Tb2ScTe2S2 at its relaxed geometry.

uncorrected formation energy = -1.47 eV per atom
E = -5.777 eV per atom

a b c (Å): 4.772 4.772 8.590
angles (deg): 106.13 106.13 90.00
Atoms (fractional coordinates):
1 Te 0.815 0.815 0.631
2 S 0.500 0.000 0.000
3 S 0.000 0.500 0.000
4 Tb 0.384 0.384 0.767
5 Te 0.185 0.185 0.369
6 Sc 0.000 0.000 0.000
7 Tb 0.616 0.616 0.233



Record 8
## Pr3Dy2Hg2 (GGA-PBE)

Data for crystalline Pr3Dy2Hg2 at its relaxed geometry.

ΔH_f (0 K) = -0.84 eV/f.u.
E = -3.569 eV per atom

a b c (Å): 4.980 3.572 12.030
angles (deg): 90.00 78.05 90.00
Atoms (fractional coordinates):
1 Dy 0.709 0.500 0.582
2 Hg 0.571 0.500 0.858
3 Pr 0.857 0.000 0.286
4 Dy 0.291 0.500 0.418
5 Hg 0.429 0.500 0.142
6 Pr 0.143 0.000 0.714
7 Pr 0.000 0.000 0.000



Record 9
## NpTe3Au (GGA-PBE)

Data for crystalline NpTe3Au at its relaxed geometry.

uncorrected formation energy = -0.26 eV per atom
E = -5.387 eV per atom

a b c (Å): 7.966 8.093 11.234
angles (deg): 90.00 90.00 90.00
Atoms (fractional coordinates):
1 Te 0.167 0.827 0.465
2 Te 0.333 0.327 0.035
3 Au 0.416 0.206 0.250
4 Np 0.000 0.500 0.500
5 Te 0.333 0.327 0.465
6 Te 0.667 0.673 0.965
7 Np 0.500 0.000 0.500
8 Te 0.667 0.673 0.535
9 Te 0.880 0.442 0.250
10 Te 0.620 0.942 0.250
11 Np 0.000 0.500 0.000
12 Np 0.500 0.000 0.000
13 Te 0.120 0.558 0.750
14 Au 0.584 0.794 0.750
15 Au 0.916 0.294 0.750
16 Au 0.084 0.706 0.250
17 Te 0.167 0.827 0.035
18 Te 0.833 0.173 0.965
19 Te 0.833 0.173 0.535
20 Te 0.380 0.058 0.750



Record 10
## Pm2Nd5Ho4 (GGA-PBE)

Data for crystalline Pm2Nd5Ho4 at its relaxed geometry.

distance to the lowest polymorph of the same formula = 108 meV/atom
ΔH_f (0 K) = 1.97 eV/f.u.
E = -4.517 eV per atom

a b c (Å): 3.546 9.200 12.791
angles (deg): 111.08 97.97 90.00
Atoms (fractional coordinates):
1 Nd 0.144 0.945 0.289
2 Ho 0.404 0.404 0.807
3 Pm 0.731 0.731 0.463
4 Nd 0.856 0.055 0.711
5 Ho 0.596 0.596 0.193
6 Nd 0.144 0.344 0.289
7 Nd 0.500 0.000 0.000
8 Ho 0.000 0.314 0.000
9 Ho 0.000 0.686 0.000
10 Nd 0.856 0.656 0.711
11 Pm 0.269 0.269 0.537



Record 11
## Rb3I3N2 (GGA-PBE)

Data for crystalline Rb3I3N2 at its relaxed geometry.

uncorrected formation energy = -1.03 eV per atom
E = -4.051 eV per atom

a b c (Å): 4.864 14.000 10.820
angles (deg): 90.00 90.00 100.00
Atoms (fractional coordinates):
1 Rb 0.079 0.157 0.946
2 I 0.493 0.986 0.250
3 I 0.675 0.351 0.961
4 Rb 0.241 0.481 0.750
5 Rb 0.921 0.843 0.054
6 Rb 0.079 0.157 0.554
7 N 0.876 0.752 0.699
8 I 0.507 0.014 0.750
9 I 0.325 0.649 0.461
10 I 0.675 0.351 0.539
11 N 0.124 0.248 0.301
12 Rb 0.759 0.519 0.250
13 I 0.325 0.649 0.039
14 N 0.876 0.752 0.801
15 Rb 0.921 0.843 0.446
16 N 0.124 0.248 0.199



Record 12
## BaGa2SiS6 (GGA-PBE)

Data for crystalline BaGa2SiS6 at its relaxed geometry.

uncorrected formation energy = -0.89 eV per atom
E = -4.705 eV per atom

a b c (Å): 6.786 9.165 9.165
angles (deg): 83.46 71.29 71.29
Atoms (fractional coordinates):
1 S 0.941 0.824 0.641
2 S 0.958 0.388 0.699
3 S 0.458 0.699 0.388
4 S 0.716 0.990 0.244
5 S 0.542 0.301 0.612
6 S 0.784 0.756 0.010
7 S 0.059 0.176 0.359
8 Ba 0.250 0.881 0.119
9 Ga 0.705 0.216 0.360
10 Ba 0.750 0.119 0.881
11 S 0.042 0.612 0.301
12 S 0.284 0.010 0.756
13 Ga 0.205 0.360 0.216
14 Si 0.750 0.746 0.254
15 Si 0.250 0.254 0.746
16 S 0.559 0.359 0.176
17 Ga 0.795 0.640 0.784
18 S 0.216 0.244 0.990
19 Ga 0.295 0.784 0.640
20 S 0.441 0.641 0.824



Record 13
## BeCuPb2 (GGA-PBE)

Data for crystalline BeCuPb2 at its relaxed geometry.

ΔH_f (0 K) = 1.20 eV/f.u.
E = -3.510 eV per atom

a b c (Å): 4.056 4.084 5.336
angles (deg): 67.98 90.00 90.00
Atoms (fractional coordinates):
1 Pb 0.500 0.268 0.333
2 Pb 0.000 0.981 0.919
3 Be 0.000 0.681 0.512
4 Cu 0.500 0.571 0.735



Record 14
## ErTmRuAu (GGA-PBE)

Data for crystalline ErTmRuAu at its relaxed geometry.

distance to the lowest polymorph of the same formula = 0 meV/atom
ΔH_f (0 K) = -2.83 eV/f.u.
E = -6.105 eV per atom

a b c (Å): 3.398 3.398 7.220
angles (deg): 90.00 90.00 90.00
Atoms (fractional coordinates):
1 Au 0.000 0.000 0.355
2 Tm 0.500 0.500 0.086
3 Er 0.500 0.500 0.628
4 Ru 0.000 0.000 0.859



Record 15
## FeReS2N (GGA-PBE)

Data for crystalline FeReS2N at its relaxed geometry.

distance to the lowest polymorph of the same formula = 300 meV/atom
uncorrected formation energy = 0.89 eV per atom
E = -6.603 eV per atom

a b c (Å): 4.560 4.560 3.319
angles (deg): 90.00 90.00 90.00
Atoms (fractional coordinates):
1 Re 0.500 0.500 0.500
2 S 0.500 0.000 0.000
3 S 0.000 0.500 0.000
4 N 0.000 0.000 0.500
5 Fe 0.000 0.000 0.000



Record 16
## GdYSb (GGA-PBE)

Data for crystalline GdYSb at its relaxed geometry.

uncorrected formation energy = -0.47 eV per atom
E = -8.690 eV per atom

a b c (Å): 4.038 5.074 5.074
angles (deg): 120.00 90.00 90.00
Atoms (fractional coordinates):
1 Gd 0.054 0.000 0.000
2 Sb 0.365 0.333 0.667
3 Y 0.581 0.667 0.333



Record 17
## ZnCu2Te (GGA-PBE)

Data for crystalline ZnCu2Te at its relaxed geometry.

distance to the lowest polymorph of the same formula = 124 meV/atom
uncorrected formation energy = 0.21 eV per atom
E = -2.943 eV per atom

a b c (Å): 4.134 4.152 3.907
angles (deg): 90.00 90.00 90.00
Atoms (fractional coordinates):
1 Zn 0.000 0.500 0.500
2 Cu 0.500 0.500 0.000
3 Cu 0.000 0.000 0.000
4 Te 0.500 0.000 0.500



Record 18
## MnNbCl2 (GGA-PBE)

Data for crystalline MnNbCl2 at its relaxed geometry.

distance to the lowest polymorph of the same formula = 731 meV/atom
uncorrected formation energy = 0.50 eV per atom
E = -5.230 eV per atom

a b c (Å): 5.462 5.462 6.229
angles (deg): 63.99 63.99 90.00
Atoms (fractional coordinates):
1 Mn 0.250 0.750 0.500
2 Cl 0.584 0.125 0.250
3 Nb 0.750 0.250 0.500
4 Cl 0.375 0.416 0.750
5 Cl 0.166 0.625 0.250
6 Nb 0.000 0.000 0.000
7 Mn 0.500 0.500 0.000
8 Cl 0.875 0.834 0.750



Record 19
## Sr2LiInCu (GGA-PBE)

Data for crystalline Sr2LiInCu at its relaxed geometry.

distance to the lowest polymorph of the same formula = 14 meV/atom
ΔH_f (0 K) = -0.20 eV/f.u.
E = -2.462 eV per atom

a b c (Å): 5.938 5.938 4.619
angles (deg): 90.00 90.00 90.00
Atoms (fractional coordinates):
1 In 0.500 0.500 0.500
2 Sr 0.000 0.500 0.000
3 Sr 0.500 0.000 0.000
4 Li 0.000 0.000 0.500
5 Cu 0.000 0.000 0.000



| no. | total magnetic moment (μB/f.u.) |
| --- | --- |
| 1 | 0.0 |
| 2 | 0.0 |
| 3 | 0.5 |
| 4 | 0.2 |
| 5 | 0.5 |
| 6 | 8.5 |
| 7 | 0.0 |
| 8 | 0.0 |
| 9 | 2.0 |
| 10 | 0.0 |
| 11 | 0.0 |
| 12 | 0.0 |
| 13 | 0.0 |
| 14 | 0.0 |
| 15 | 1.9 |
| 16 | 7.3 |
| 17 | 0.0 |
| 18 | 0.0 |
| 19 | 0.0 |